Entry 1:
Entry from the Alexandria database: a geometry-optimized Na6Tl3Zn structure (PBE-GGA).

Lattice parameters (Å, degrees): 5.5097 9.2252 11.6525 107.87 90.00 90.00
Atoms (fractional coordinates):
Tl (0.7500, 0.2014, 0.9575)
Tl (0.2500, 0.7986, 0.0425)
Na (0.7500, 0.9924, 0.1504)
Na (0.7500, 0.5945, 0.0658)
Tl (0.2500, 0.6008, 0.2376)
Na (0.2500, 0.4055, 0.9342)
Na (0.2500, 0.9983, 0.3445)
Na (0.7500, 0.4243, 0.2811)
Tl (0.2500, 0.2025, 0.6399)
Zn (0.7500, 0.5831, 0.5594)
Na (0.2500, 0.5757, 0.7189)
Na (0.7500, 0.7816, 0.8527)
Tl (0.7500, 0.7975, 0.3601)
Na (0.2500, 0.2184, 0.1473)
Zn (0.2500, 0.4169, 0.4406)
Na (0.7500, 0.2248, 0.4734)
Na (0.2500, 0.0076, 0.8496)
Tl (0.7500, 0.3992, 0.7624)
Na (0.7500, 0.0017, 0.6555)
Na (0.2500, 0.7752, 0.5266)

Properties
Size of the total moment = 0.00 μB/f.u.
DFT total energy = -1.683 eV/atom
Space group = P2_1/m, No. 11

---

Entry 2:
Entry from the Alexandria database: a geometry-optimized AgSbTe2Se structure (PBE-GGA).

Lattice parameters (Å, degrees): 5.4904 5.4904 5.4611 90.00 90.00 90.00
Site moments in Bohr magnetons follow the coordinates.
Atoms (fractional coordinates):
Sb (0.0000, 0.0000, 0.5000)  0.31
Se (0.0000, 0.0000, 0.0000)  0.01
Ag (0.5000, 0.5000, 0.5000)  0.02
Te (0.5000, 0.0000, 0.0000)  0.07
Te (0.0000, 0.5000, 0.0000)  0.07

Properties
Formation energy (no corrections) = 0.652 eV/atom
Energy relative to the lowest polymorph listed for this composition = 0.000 eV per atom
Size of the total moment = 1.03 μB/f.u.
DFT total energy = -2.696 eV/atom
Space group = P4/mmm, No. 123

---

Entry 3:
Entry from the Alexandria database: a geometry-optimized BeZnTePO structure (PBE-GGA).

Lattice parameters (Å, degrees): 6.1050 2.8705 12.7244 90.00 97.48 90.00
Atoms (fractional coordinates):
Be (0.1868, 0.5000, 0.0718)
O (0.2838, 0.5000, 0.5856)
P (0.8206, 0.5000, 0.0354)
O (0.2838, 0.0000, 0.0856)
Zn (0.6118, 0.5000, 0.6368)
Te (0.5761, 0.0000, 0.3485)
Be (0.1868, 0.0000, 0.5718)
Zn (0.6118, 0.0000, 0.1368)
Te (0.5761, 0.5000, 0.8485)
P (0.8206, 0.0000, 0.5354)

Properties
Formation energy (no corrections) = -0.742 eV/atom
Energy relative to the lowest polymorph listed for this composition = 0.015 eV per atom
Size of the total moment = 0.00 μB/f.u.
DFT total energy = -4.444 eV/atom
Space group = Cm, No. 8

---

Entry 4:
Entry from the Alexandria database: a geometry-optimized RuW3 structure (PBE-GGA).

Lattice parameters (Å, degrees): 2.7938 9.5098 2.7938 98.45 60.00 98.45
Atoms (fractional coordinates):
W (0.5000, 0.5000, 0.5000)
Ru (0.0000, 0.0000, 0.0000)
W (0.7455, 0.2366, 0.7455)
W (0.2545, 0.7634, 0.2545)

Properties
Size of the total moment = 0.00 μB/f.u.
DFT total energy = -11.765 eV/atom
Space group = R-3m, No. 166